Record 1
Computed, not measured: crystalline ReRhSe2 at its relaxed geometry at the PBE level of DFT.

Cell: 9.685 9.685 9.685 Å, 18.36 18.36 18.36°
Fractional positions:
Se1 0.026 0.026 0.026
Se2 0.225 0.225 0.225
Re1 0.499 0.499 0.499
Rh1 0.750 0.750 0.750

Spin magnetization = 0.00 μB/f.u.
ΔE to the lowest computed polymorph = 34 meV per atom
Calculated density = 9429 kg/m³
Symmetry = R3m
ΔE_f (raw) = 65 meV/atom

---

Record 2
Computed, not measured: crystalline Sm3Cd2C at its relaxed geometry at the PBE level of DFT.

Cell: 7.310 7.310 6.865 Å, 90.00 90.00 120.00°
Fractional positions:
C1 0.000 0.000 0.000
C2 0.000 0.000 0.500
Cd1 0.667 0.333 0.059
Cd2 0.333 0.667 0.941
Cd3 0.667 0.333 0.441
Cd4 0.333 0.667 0.559
Sm1 0.300 0.150 0.750
Sm2 0.150 0.300 0.250
Sm3 0.850 0.700 0.750
Sm4 0.150 0.850 0.250
Sm5 0.850 0.150 0.750
Sm6 0.700 0.850 0.250

Formation energy from the elements = -0.1593 eV per atom
Spin magnetization = 0.00 μB/f.u.
Calculated density = 7192 kg/m³
Symmetry = P6_3/mmc